Entry from Alexandria: Tl2TcSe after structural relaxation (PBE-GGA).

Values from the calculation:
DOS(E_F) ... 0.54 states/eV per atom
Density ... 7116 kg/m³
Distance to the lowest polymorph of the same formula ... 161 meV per atom
Formation energy without anion corrections ... 0.89 eV per formula unit
Final energy ... -4.424 eV per atom

Cell lengths 10.7329, 10.7329, 4.7461 Å; angles 90.00, 90.00, 90.00 degrees
Space group I-42d (No. 122)
Symmetry-distinct sites (fractional):
Tl 0.0020 0.2500 0.1250
Tc 0.0000 0.0000 0.0000
Se 0.0000 0.0000 0.5000

Entry from Alexandria: Y2BiPd2 after structural relaxation (PBE-GGA).

Values from the calculation:
DOS(E_F) ... 0.68 states/eV per atom
Density ... 8143 kg/m³
Distance to the lowest polymorph of the same formula ... 242 meV per atom
Calculated formation energy ... -643 meV per atom
Final energy ... -6.082 eV per atom

Cell lengths 8.3081, 8.3081, 3.5429 Å; angles 90.00, 90.00, 90.00 degrees
Space group P4/mbm (No. 127)
Symmetry-distinct sites (fractional):
Y 0.1590 0.3410 0.0000
Bi 0.0000 0.0000 0.0000
Pd 0.1251 0.6251 0.5000

Entry from Alexandria: Zn3TcW after structural relaxation (PBE-GGA).

Values from the calculation:
DOS(E_F) ... 0.58 states/eV per atom
Density ... 7885 kg/m³
Distance to the lowest polymorph of the same formula ... 0 meV per atom
Calculated formation energy ... 1628 meV per atom
Final energy ... -3.800 eV per atom

Cell lengths 4.6521, 4.6521, 4.6521 Å; angles 90.00, 90.00, 90.00 degrees
Space group Pm-3m (No. 221)
Symmetry-distinct sites (fractional):
Zn 0.0000 0.0000 0.5000
Tc 0.0000 0.0000 0.0000
W 0.5000 0.5000 0.5000

Entry from Alexandria: CsMgCrPd2 after structural relaxation (PBE-GGA).

Values from the calculation:
DOS(E_F) ... 0.25 states/eV per atom
Density ... 4496 kg/m³
Calculated formation energy ... 1522 meV per atom
Final energy ... -2.969 eV per atom

Cell lengths 5.3064, 5.3064, 5.5364 Å; angles 90.00, 90.00, 90.00 degrees
Space group P4/mmm (No. 123)
Symmetry-distinct sites (fractional):
Cs 0.0000 0.0000 0.0000
Mg 0.5000 0.5000 0.5000
Cr 0.0000 0.0000 0.5000
Pd 0.0000 0.5000 0.0000

Entry from Alexandria: LiSbI2 after structural relaxation (PBE-GGA).

Values from the calculation:
DOS(E_F) ... 0.31 states/eV per atom
Density ... 4874 kg/m³
Distance to the lowest polymorph of the same formula ... 218 meV per atom
Formation energy without anion corrections ... -0.96 eV per formula unit
Final energy ... -2.525 eV per atom

Cell lengths 8.0940, 8.0940, 7.9573 Å; angles 90.00, 90.00, 90.00 degrees
Space group I-42d (No. 122)
Symmetry-distinct sites (fractional):
Li 0.0000 0.0000 0.0000
Sb 0.0000 0.0000 0.5000
I 0.2173 0.2500 0.1250

Entry from Alexandria: TcMoRh2 after structural relaxation (PBE-GGA).

Values from the calculation:
DOS(E_F) ... 0.94 states/eV per atom
Density ... 11399 kg/m³
Distance to the lowest polymorph of the same formula ... 89 meV per atom
Calculated formation energy ... -120 meV per atom
Final energy ... -9.095 eV per atom

Cell lengths 2.7181, 2.7181, 7.8819 Å; angles 90.00, 90.00, 90.00 degrees
Space group P4/mmm (No. 123)
Symmetry-distinct sites (fractional):
Tc 0.0000 0.0000 0.0000
Mo 0.0000 0.0000 0.5000
Rh 0.5000 0.5000 0.2460